Computed, not measured: a geometry-optimized GdMgInSe3 structure at the PBE level of DFT.

Raw total energy ... -106.9 eV per cell
Calculated density ... 5125 kg/m³

```
data_GdMgInSe3
_cell_length_a 4.230
_cell_length_b 14.528
_cell_length_c 11.245
_cell_angle_alpha 90.00
_cell_angle_beta 90.00
_cell_angle_gamma 90.00
_symmetry_space_group_name_H-M 'C m c m'
_symmetry_Int_Tables_number 63
_symmetry_space_group_name_Hall '-C 2c 2'
loop_
_atom_site_label
_atom_site_fract_x
_atom_site_fract_y
_atom_site_fract_z
Gd1 0.000 0.000 0.000
Mg1 0.000 0.463 0.250
In1 0.000 0.248 0.750
Se1 0.000 0.068 0.250
Se2 0.000 0.370 0.059
```